1.
VASP calculation (PBEsol) on MgAl2InRu after structural relaxation.

Results
- E (eV per formula unit) = -17.15
- energy relative to the elements (eV/atom) = 1.1810
- DOS(E_F) (states/eV/cell) = 4.67
- M_tot (Bohr magnetons per cell) = 0.00

Lattice parameters (Å, degrees): 4.9313 4.9313 4.9458 90.00 90.00 90.00
With the nearest neighbours (Å) after each atom.
Space group P4/mmm (No. 123)
Asymmetric unit:
Mg 0.0000 0.0000 0.0000 [1 per cell]  4 Ru 3.49, 8 Al 3.49
Al 0.0000 0.5000 0.5000 [2 per cell]  2 In 2.47
In 0.5000 0.5000 0.5000 [1 per cell]  4 Al 2.47, 2 Ru 2.47
Ru 0.5000 0.5000 0.0000 [1 per cell]  2 In 2.47



2.
VASP calculation (PBEsol) on MnAl3In after structural relaxation.

Results
- E (eV per formula unit) = -18.73
- energy relative to the elements (eV/atom) = 1.2571
- DOS(E_F) (states/eV/cell) = 3.25
- M_tot (Bohr magnetons per cell) = 4.47

Lattice parameters (Å, degrees): 5.1038 5.1038 5.1038 90.00 90.00 90.00
With the nearest neighbours (Å) after each atom.
Space group Pm-3m (No. 221)
Asymmetric unit:
Mn 0.0000 0.0000 0.0000 [1 per cell]  12 Al 3.61
Al 0.0000 0.5000 0.5000 [3 per cell]  2 In 2.55
In 0.5000 0.5000 0.5000 [1 per cell]  6 Al 2.55



3.
VASP calculation (PBEsol) on MnAlIn2Te after structural relaxation.

Results
- E (eV per formula unit) = -19.63
- formation energy from raw total energies (meV per atom) = 743
- DOS(E_F) (states/eV/cell) = 3.23
- M_tot (Bohr magnetons per cell) = 4.91

Lattice parameters (Å, degrees): 5.1753 5.1753 5.4251 90.00 90.00 90.00
With the nearest neighbours (Å) after each atom.
Space group P4/mmm (No. 123)
Asymmetric unit:
Mn 0.0000 0.0000 0.0000 [1 per cell]  4 Te 3.66, 8 In 3.75
Al 0.5000 0.5000 0.5000 [1 per cell]  4 In 2.59, 2 Te 2.71
In 0.0000 0.5000 0.5000 [2 per cell]  2 Al 2.59
Te 0.5000 0.5000 0.0000 [1 per cell]  2 Al 2.71



4.
VASP calculation (PBEsol) on AlInMo2 after structural relaxation.

Results
- E (eV per formula unit) = -29.53
- energy relative to the elements (eV/atom) = 0.2706
- polymorph energy (0 for the lowest one) (meV per atom) = 75
- DOS(E_F) (states/eV/cell) = 7.38
- M_tot (Bohr magnetons per cell) = 0.00

Lattice parameters (Å, degrees): 5.5084 8.5547 2.7751 90.00 90.00 90.00
With the nearest neighbours (Å) after each atom.
Space group Cmmm (No. 65)
Asymmetric unit:
Al 0.0000 0.0000 0.0000 [2 per cell]  2 In 2.75, 2 Al 2.78, 8 Mo 2.90
In 0.0000 0.5000 0.0000 [2 per cell]  2 Al 2.75, 2 In 2.78, 8 Mo 2.90
Mo 0.2500 0.2500 0.5000 [4 per cell]  4 Mo 2.75-2.78, 4 In 2.90, 4 Al 2.90



5.
VASP calculation (PBEsol) on AlInMo2 after structural relaxation.

Results
- E (eV per formula unit) = -29.83
- energy relative to the elements (eV/atom) = 0.1954
- polymorph energy (0 for the lowest one) (meV per atom) = 0
- DOS(E_F) (states/eV/cell) = 2.78
- M_tot (Bohr magnetons per cell) = 0.00

Lattice parameters (Å, degrees): 3.3647 3.3647 5.8832 90.00 90.00 90.00
With the nearest neighbours (Å) after each atom.
Space group P4/mmm (No. 123)
Asymmetric unit:
Al 0.0000 0.0000 0.0000 [1 per cell]  8 Mo 2.67, 2 In 2.94
In 0.0000 0.0000 0.5000 [1 per cell]  2 Al 2.94, 8 Mo 2.95
Mo 0.5000 0.5000 0.2049 [2 per cell]  1 Mo 2.41, 4 Al 2.67



6.
VASP calculation (PBEsol) on AlInTeMo2 after structural relaxation.

Results
- E (eV per formula unit) = -25.17
- formation energy from raw total energies (meV per atom) = 1793
- DOS(E_F) (states/eV/cell) = 4.28
- M_tot (Bohr magnetons per cell) = 3.10

Lattice parameters (Å, degrees): 4.9509 4.9509 5.3827 90.00 90.00 90.00
With the nearest neighbours (Å) after each atom.
Space group P4/mmm (No. 123)
Asymmetric unit:
Al 0.0000 0.0000 0.0000 [1 per cell]  4 In 3.50, 8 Mo 3.66
In 0.5000 0.5000 0.0000 [1 per cell]  2 Te 2.69
Te 0.5000 0.5000 0.5000 [1 per cell]  4 Mo 2.48, 2 In 2.69
Mo 0.0000 0.5000 0.5000 [2 per cell]  2 Te 2.48



7.
VASP calculation (PBEsol) on AlInN2 after structural relaxation.

Results
- E (eV per formula unit) = -27.12
- formation energy from raw total energies (meV per atom) = -747
- M_tot (Bohr magnetons per cell) = 0.00

Lattice parameters (Å, degrees): 4.7027 4.7027 9.1920 90.00 90.00 90.00
With the nearest neighbours (Å) after each atom.
Space group I-42d (No. 122)
Asymmetric unit:
Al 0.0000 0.0000 0.0000 [4 per cell]  4 N 1.90
In 0.0000 0.0000 0.5000 [4 per cell]  4 N 2.16
N 0.2027 0.2500 0.1250 [8 per cell]  2 Al 1.90



8.
VASP calculation (PBEsol) on AlIn2N3 after structural relaxation.

Results
- E (eV per formula unit) = -38.75
- formation energy from raw total energies (meV per atom) = -519
- M_tot (Bohr magnetons per cell) = 0.00

Lattice parameters (Å, degrees): 10.1892 5.8643 5.4464 90.00 90.00 90.00
With the nearest neighbours (Å) after each atom.
Space group Cmc2_1 (No. 36)
Asymmetric unit:
Al 0.0000 0.1592 0.0000 [4 per cell]  4 N 1.89-1.91
In 0.1620 0.3265 0.5020 [8 per cell]  4 N 2.16-2.17
N 0.0000 0.1327 0.6509 [4 per cell]  2 Al 1.90-1.91
N 0.1516 0.3187 0.1044 [8 per cell]  1 Al 1.89



9.
VASP calculation (PBEsol) on AlInN2 after structural relaxation.

Results
- E (eV per formula unit) = -27.19
- formation energy from raw total energies (meV per atom) = -765
- DOS(E_F) (states/eV/cell) = 0.00
- M_tot (Bohr magnetons per cell) = 0.00

Lattice parameters (Å, degrees): 5.7142 6.6365 5.3623 90.00 90.00 90.00
With the nearest neighbours (Å) after each atom.
Space group Pna2_1 (No. 33)
Asymmetric unit:
Al 0.0765 0.1256 0.0000 [4 per cell]  4 N 1.89-1.91
In 0.0907 0.6235 0.9978 [4 per cell]  4 N 2.15-2.18
N 0.0602 0.1038 0.3522 [4 per cell]  2 Al 1.89-1.90
N 0.1036 0.6465 0.4025 [4 per cell]  2 Al 1.90-1.91



10.
VASP calculation (PBEsol) on AlInN3 after structural relaxation.

Results
- E (eV per formula unit) = -23.24
- formation energy from raw total energies (meV per atom) = 1883
- DOS(E_F) (states/eV/cell) = 3.61
- M_tot (Bohr magnetons per cell) = 3.15

Lattice parameters (Å, degrees): 4.1522 4.1522 4.1522 90.00 90.00 90.00
With the nearest neighbours (Å) after each atom.
Space group Pm-3m (No. 221)
Asymmetric unit:
Al 0.0000 0.0000 0.0000 [1 per cell]  12 N 2.94
In 0.5000 0.5000 0.5000 [1 per cell]  6 N 2.08
N 0.0000 0.5000 0.5000 [3 per cell]  2 In 2.08



11.
VASP calculation (PBEsol) on Nb12Al3In after structural relaxation.

Results
- E (eV per formula unit) = -147.30
- energy relative to the elements (eV/atom) = -0.1368
- DOS(E_F) (states/eV/cell) = 22.42
- M_tot (Bohr magnetons per cell) = 0.00

Lattice parameters (Å, degrees): 5.1851 5.1992 10.3515 90.00 90.00 90.00
With the nearest neighbours (Å) after each atom.
Space group Pmmm (No. 47)
Asymmetric unit:
Nb 0.0000 0.0000 0.1253 [2 per cell]  2 Nb 2.53-2.59
Nb 0.0000 0.0000 0.3702 [2 per cell]  2 Nb 2.53-2.69
Nb 0.2416 0.5000 0.5000 [2 per cell]  2 Nb 2.51-2.68
Nb 0.2552 0.5000 0.0000 [2 per cell]  2 Nb 2.54-2.65
Nb 0.5000 0.2544 0.2435 [4 per cell]  2 Nb 2.55-2.65, 1 Al 2.85
Al 0.0000 0.5000 0.2502 [2 per cell]  12 Nb 2.87-2.91
Al 0.5000 0.0000 0.0000 [1 per cell]  12 Nb 2.85-2.90
In 0.5000 0.0000 0.5000 [1 per cell]  12 Nb 2.92-2.97



12.
VASP calculation (PBEsol) on AlInNi2 after structural relaxation.

Results
- E (eV per formula unit) = -20.98
- energy relative to the elements (eV/atom) = -0.3975
- DOS(E_F) (states/eV/cell) = 1.82
- M_tot (Bohr magnetons per cell) = 0.00

Lattice parameters (Å, degrees): 2.9276 2.9276 6.2072 90.00 90.00 90.00
With the nearest neighbours (Å) after each atom.
Space group P4/mmm (No. 123)
Asymmetric unit:
Al 0.0000 0.0000 0.0000 [1 per cell]  8 Ni 2.47
In 0.0000 0.0000 0.5000 [1 per cell]  8 Ni 2.72, 4 In 2.93
Ni 0.5000 0.5000 0.2166 [2 per cell]  4 Al 2.47, 1 Ni 2.69, 4 In 2.72